No. 1
# NaTbHg4

An optimized crystal structure of NaTbHg4 (PBE-GGA, Alexandria via LeMat-Bulk).

Calculated values
V   148.2 Å³/cell
ΔE_f   -0.301 eV/atom
Distance to the lowest polymorph of the same formula   0 meV/atom
Size of the total moment   0.00 μB/f.u.

Cell and atoms, written as CIF:
```
data_NaTbHg4
_chemical_formula_sum 'Na1 Tb1 Hg4'
_symmetry_space_group_name_H-M 'P 1'
_symmetry_Int_Tables_number 1
_cell_length_a 5.5989
_cell_length_b 5.5989
_cell_length_c 7.8640
_cell_angle_alpha 110.79
_cell_angle_beta 110.79
_cell_angle_gamma 40.49
loop_
_symmetry_equiv_pos_as_xyz
'x,y,z'
loop_
_atom_site_label
_atom_site_type_symbol
_atom_site_fract_x
_atom_site_fract_y
_atom_site_fract_z
_atom_site_occupancy
Na1 Na 0.0000 0.0000 0.0000 1
Tb1 Tb 0.0000 0.0000 0.5000 1
Hg1 Hg 0.3303 0.3303 0.1663 1
Hg2 Hg 0.3349 0.3349 0.6667 1
Hg3 Hg 0.6651 0.6651 0.3333 1
Hg4 Hg 0.6697 0.6697 0.8337 1
```

No. 2
# Pm3YPb4

An optimized crystal structure of Pm3YPb4 (PBE-GGA, Alexandria via LeMat-Bulk).

Calculated values
V   479.7 Å³/cell
ΔE_f   -0.486 eV/atom
Distance to the lowest polymorph of the same formula   0 meV/atom
Size of the total moment   0.00 μB/f.u.

Cell and atoms, written as CIF:
```
data_Pm3YPb4
_chemical_formula_sum 'Pm6 Y2 Pb8'
_symmetry_space_group_name_H-M 'P 1'
_symmetry_Int_Tables_number 1
_cell_length_a 11.2808
_cell_length_b 6.5205
_cell_length_c 6.5217
_cell_angle_alpha 90.00
_cell_angle_beta 90.00
_cell_angle_gamma 90.00
loop_
_symmetry_equiv_pos_as_xyz
'x,y,z'
loop_
_atom_site_label
_atom_site_type_symbol
_atom_site_fract_x
_atom_site_fract_y
_atom_site_fract_z
_atom_site_occupancy
Pm1 Pm 0.0000 0.9999 0.0000 1
Pm2 Pm 0.2499 0.2492 0.2498 1
Pm3 Pm 0.2501 0.7508 0.7498 1
Pm4 Pm 0.5000 0.0001 0.5000 1
Pm5 Pm 0.7501 0.2492 0.2498 1
Pm6 Pm 0.7499 0.7508 0.7498 1
Y1 Y 0.0000 0.5006 0.4996 1
Y2 Y 0.5000 0.4994 0.9996 1
Pb1 Pb 0.0000 0.0003 0.4999 1
Pb2 Pb 0.0000 0.5001 0.9998 1
Pb3 Pb 0.2496 0.2512 0.7499 1
Pb4 Pb 0.2504 0.7488 0.2499 1
Pb5 Pb 0.5000 0.9997 0.9999 1
Pb6 Pb 0.5000 0.4999 0.4998 1
Pb7 Pb 0.7504 0.2512 0.7499 1
Pb8 Pb 0.7496 0.7488 0.2499 1
```

Q: Look up the distance to the lowest polymorph of the same formula of the first one.
A: 0 meV/atom